# Mg3Cd2BIr3

An optimized crystal structure of Mg3Cd2BIr3 (PBE, Alexandria via LeMat-Bulk).

Cell: 3.0340 7.3073 7.3073 Å, 120.00 90.00 90.00°
With the nearest neighbours (Å) after each atom.
Atoms (fractional coordinates):
Mg (0.0000, 0.0000, 0.3583)  1 B 2.62, 4 Ir 2.75, 4 Cd 2.80
Mg (0.0000, 0.6417, 0.6417)  1 B 2.62, 4 Ir 2.75, 4 Cd 2.80
Mg (0.0000, 0.3583, 0.0000)  1 B 2.62, 4 Ir 2.75, 4 Cd 2.80
Cd (0.5000, 0.3333, 0.6667)  6 Mg 2.80, 3 Ir 2.89, 2 Cd 3.03
Cd (0.5000, 0.6667, 0.3333)  6 Mg 2.80, 3 Ir 2.89, 2 Cd 3.03
B (0.0000, 0.0000, 0.0000)  6 Ir 2.26
Ir (0.5000, 0.7706, 0.0000)  2 B 2.26
Ir (0.5000, 0.2294, 0.2294)  2 B 2.26
Ir (0.5000, 0.0000, 0.7706)  2 B 2.26

Properties
Calculated density in Mg/m³: 10.48
Final energy in eV/atom: -4.692
Symmetry: P-62m (189)
DOS(E_F) in states/eV/atom: 0.1440